## Ho6MgCo2 (GGA-PBE)

Data for Ho6MgCo2 after structural relaxation.

It has space group Immm (No. 71), with a = 9.287 Å, b = 9.607 Å, c = 9.987 Å, α = 90.00°, β = 90.00° and γ = 90.00°. The inequivalent atoms are Ho at (0.000, 0.204, 0.236), Ho at (0.186, 0.500, 0.180), Ho at (0.215, 0.317, 0.500), Mg at (0.000, 0.000, 0.000), Mg at (0.000, 0.000, 0.500), Co at (0.000, 0.329, 0.000) and Co at (0.000, 0.500, 0.386).

As for the electronic total energy: -4.9632 eV per atom. For the calculated density, the calculation gives 8.44 g cm⁻³.